[1]
Ac3NdHg after structural relaxation. Source: Alexandria via LeMat-Bulk, functional PBE.

The structure belongs to space group C2/m (No. 12); the cell edges are 24.297, 3.924 and 8.495 Å and the angles 90.00°, 103.01° and 90.00°. Symmetry generates all atoms from Ac at (0.013, 0.000, 0.252), Ac at (0.120, 0.500, 0.027), Ac at (0.174, 0.000, 0.473), Nd at (0.245, 0.500, 0.833) and Hg at (0.081, 0.500, 0.606).

As for the energy above the most stable polymorph in this dataset: 0.0000 eV per atom. The density of states at the Fermi level is 1.21 states/eV/atom. For the energy of formation from the pure elements, the calculation gives -0.0883 eV per atom.

***

[2]
Pr8IrPd2 after structural relaxation. Source: Alexandria via LeMat-Bulk, functional PBE.

The structure belongs to space group Cm (No. 8); the cell edges are 8.671, 13.133 and 6.505 Å and the angles 90.00°, 112.25° and 90.00°. Symmetry generates all atoms from Pr at (0.000, 0.000, 0.000), Pr at (0.073, 0.369, 0.793), Pr at (0.136, 0.131, 0.548), Pr at (0.207, 0.500, 0.369), Pr at (0.350, 0.194, 0.177), Ir at (0.362, 0.000, 0.397) and Pd at (0.359, 0.314, 0.685).

As for the energy above the most stable polymorph in this dataset: 0.0738 eV per atom. The density of states at the Fermi level is 1.16 states/eV/atom. For the energy of formation from the pure elements, the calculation gives -0.3068 eV per atom.

***

energy of formation from the pure elements of number 1 (Ac3NdHg)? -0.0883 eV per atom

***

What is the formula in the second record? Pr8IrPd2

***

What is the energy of formation from the pure elements in the first record? -0.0883 eV per atom

***

What is the formula in the second record? Pr8IrPd2